Computed, not measured: a geometry-optimized Ac2DyAu5 structure at the GGA-PBE level of DFT.

Cell lengths 5.3126, 5.3126, 8.1453 Å; angles 109.03, 109.03, 90.00 degrees
Fractional coordinates of all 8 atoms:
1 Ac 0.2764 0.2764 0.5529
2 Au 0.5000 0.5000 0.0000
3 Ac 0.7236 0.7236 0.4471
4 Au 0.6073 0.1073 0.2147
5 Au 0.8927 0.3927 0.7853
6 Dy 0.0000 0.0000 0.0000
7 Au 0.3927 0.8927 0.7853
8 Au 0.1073 0.6073 0.2147

- Calculated formation energy: -0.681 eV/atom
- E: -4.332 eV per atom